VASP calculation (PBE-GGA) on a geometry-optimized Ba2TlAgPb6 structure.

Computed properties:
**Total energy**: -0.1200 Ha/atom
**Theoretical density**: 8.20 Mg/m³
**Magnetic moment**: 0.000 μB per atom

a = 15.7706 Å, b = 15.7706 Å, c = 15.7706 Å
α = 27.56°, β = 27.56°, γ = 27.56°
Element x y z (fractional)
Ba1 0.1224 0.1224 0.1224
Ba2 0.2840 0.2840 0.2840
Ba3 0.7160 0.7160 0.7160
Ba4 0.8776 0.8776 0.8776
Tl1 0.4245 0.4245 0.4245
Tl2 0.5755 0.5755 0.5755
Ag1 0.0000 0.0000 0.0000
Ag2 0.5000 0.5000 0.5000
Pb1 0.0783 0.6598 0.6598
Pb2 0.2226 0.2226 0.6532
Pb3 0.2226 0.6532 0.2226
Pb4 0.3402 0.3402 0.9217
Pb5 0.3402 0.9217 0.3402
Pb6 0.3468 0.7773 0.7774
Pb7 0.6532 0.2226 0.2226
Pb8 0.6598 0.0783 0.6598
Pb9 0.6598 0.6598 0.0783
Pb10 0.7774 0.3468 0.7774
Pb11 0.7774 0.7774 0.3468
Pb12 0.9217 0.3402 0.3402


VASP calculation (PBE-GGA) on a geometry-optimized BaTlAgPb2 structure.

Computed properties:
**Total energy**: -0.1142 Ha/atom
**Theoretical density**: 8.69 Mg/m³
**Magnetic moment**: 0.000 μB per atom

a = 7.4622 Å, b = 7.4622 Å, c = 7.4622 Å
α = 140.72°, β = 140.72°, γ = 56.76°
Element x y z (fractional)
Ba1 0.0000 0.0000 0.0000
Tl1 0.7500 0.2500 0.5000
Ag1 0.2500 0.7500 0.5000
Pb1 0.3832 0.3832 0.0000
Pb2 0.6168 0.6168 0.0000


VASP calculation (PBE-GGA) on a geometry-optimized BaTmAgPb structure.

Computed properties:
**Total energy**: -0.1294 Ha/atom
**Theoretical density**: 8.28 Mg/m³
**Magnetic moment**: 0.000 μB per atom

a = 5.6057 Å, b = 5.6057 Å, c = 5.6057 Å
α = 60.00°, β = 60.00°, γ = 60.00°
Element x y z (fractional)
Ba1 0.0000 0.0000 0.0000
Tm1 0.5000 0.5000 0.5000
Ag1 0.2500 0.2500 0.2500
Pb1 0.7500 0.7500 0.7500


VASP calculation (PBE-GGA) on a geometry-optimized BaV2AgPb structure.

Computed properties:
**Total energy**: -0.1637 Ha/atom
**Theoretical density**: 5.82 Mg/m³
**Magnetic moment**: 1.599 μB per atom

a = 5.4581 Å, b = 5.4581 Å, c = 5.3127 Å
α = 90.00°, β = 90.00°, γ = 90.00°
Element x y z (fractional)
Ba1 0.0000 0.0000 0.0000
V1 0.0000 0.5000 0.5000
V2 0.5000 0.0000 0.5000
Ag1 0.5000 0.5000 0.0000
Pb1 0.5000 0.5000 0.5000